The following is a PBE calculation of crystalline SrVCr3 at its relaxed geometry, from Alexandria via LeMat-Bulk.

abc: 4.925 4.925 4.925
angles: 90.00 90.00 90.00
Element x y z (fractional)
Cr 0.500 0.000 0.000
V 0.500 0.500 0.500
Cr 0.000 0.500 0.000
Sr 0.000 0.000 0.000
Cr 0.000 0.000 0.500

Output
Size of the total moment   2.763 μB/atom
ΔE_f   2690.6 meV per atom
Total energy   -26.2 eV per formula unit
Volume   119.5 Å³/cell
DOS at the Fermi energy   14.0 states/eV/cell
SG   Pm-3m (221)